# CePm6Dy3Ho2

An optimized crystal structure of CePm6Dy3Ho2 (PBE, Alexandria).

```
data_CePm6Dy3Ho2
_chemical_formula_sum 'Ce1 Pm6 Dy3 Ho2'
_symmetry_space_group_name_H-M 'P 1'
_symmetry_Int_Tables_number 1
_cell_length_a 6.236
_cell_length_b 6.236
_cell_length_c 11.879
_cell_angle_alpha 95.03
_cell_angle_beta 95.03
_cell_angle_gamma 120.00
loop_
_symmetry_equiv_pos_as_xyz
'x,y,z'
loop_
_atom_site_label
_atom_site_type_symbol
_atom_site_fract_x
_atom_site_fract_y
_atom_site_fract_z
_atom_site_occupancy
Ce1 Ce 0.000 0.000 0.000 1
Pm1 Pm 0.917 0.586 0.750 1
Pm2 Pm 0.751 0.751 0.250 1
Pm3 Pm 0.083 0.414 0.250 1
Pm4 Pm 0.586 0.917 0.750 1
Pm5 Pm 0.249 0.249 0.750 1
Pm6 Pm 0.414 0.083 0.250 1
Dy1 Dy 0.167 0.833 0.500 1
Dy2 Dy 0.833 0.167 0.500 1
Dy3 Dy 0.500 0.500 0.500 1
Ho1 Ho 0.334 0.666 0.000 1
Ho2 Ho 0.666 0.334 0.000 1
```

space-group type = No. 12
formation enthalpy at 0 K = 0.0371 eV/atom



# PmMgCl6

An optimized crystal structure of PmMgCl6 (PBE, Alexandria).

```
data_PmMgCl6
_chemical_formula_sum 'Pm1 Mg1 Cl6'
_symmetry_space_group_name_H-M 'P 1'
_symmetry_Int_Tables_number 1
_cell_length_a 7.365
_cell_length_b 7.365
_cell_length_c 7.365
_cell_angle_alpha 60.00
_cell_angle_beta 60.00
_cell_angle_gamma 60.00
loop_
_symmetry_equiv_pos_as_xyz
'x,y,z'
loop_
_atom_site_label
_atom_site_type_symbol
_atom_site_fract_x
_atom_site_fract_y
_atom_site_fract_z
_atom_site_occupancy
Pm1 Pm 0.500 0.500 0.500 1
Mg1 Mg 0.000 0.000 0.000 1
Cl1 Cl 0.760 0.760 0.240 1
Cl2 Cl 0.760 0.240 0.240 1
Cl3 Cl 0.240 0.760 0.760 1
Cl4 Cl 0.240 0.240 0.760 1
Cl5 Cl 0.240 0.760 0.240 1
Cl6 Cl 0.760 0.240 0.760 1
```

space-group type = No. 225
energy relative to the elements, uncorrected = -1.64 eV/atom



# Li5BS4O16

An optimized crystal structure of Li5BS4O16 (PBE, Alexandria).

```
data_Li5BS4O16
_chemical_formula_sum 'Li20 B4 S16 O64'
_symmetry_space_group_name_H-M 'P 1'
_symmetry_Int_Tables_number 1
_cell_length_a 8.152
_cell_length_b 10.359
_cell_length_c 15.314
_cell_angle_alpha 90.00
_cell_angle_beta 104.07
_cell_angle_gamma 90.00
loop_
_symmetry_equiv_pos_as_xyz
'x,y,z'
loop_
_atom_site_label
_atom_site_type_symbol
_atom_site_fract_x
_atom_site_fract_y
_atom_site_fract_z
_atom_site_occupancy
Li1 Li 0.397 0.841 0.404 1
Li2 Li 0.103 0.341 0.096 1
Li3 Li 0.603 0.159 0.596 1
Li4 Li 0.897 0.659 0.904 1
Li5 Li 0.188 0.191 0.296 1
Li6 Li 0.312 0.691 0.204 1
Li7 Li 0.812 0.809 0.704 1
Li8 Li 0.688 0.309 0.796 1
Li9 Li 0.083 0.884 0.185 1
Li10 Li 0.417 0.384 0.315 1
Li11 Li 0.917 0.116 0.815 1
Li12 Li 0.583 0.616 0.685 1
Li13 Li 0.728 0.873 0.025 1
Li14 Li 0.772 0.373 0.475 1
Li15 Li 0.272 0.127 0.975 1
Li16 Li 0.228 0.627 0.525 1
Li17 Li 0.402 0.709 0.015 1
Li18 Li 0.098 0.209 0.485 1
Li19 Li 0.598 0.291 0.985 1
Li20 Li 0.902 0.791 0.515 1
B1 B 0.763 0.547 0.242 1
B2 B 0.737 0.047 0.258 1
B3 B 0.237 0.453 0.758 1
B4 B 0.263 0.953 0.742 1
S1 S 0.921 0.625 0.112 1
S2 S 0.579 0.125 0.388 1
S3 S 0.079 0.375 0.888 1
S4 S 0.421 0.875 0.612 1
S5 S 0.384 0.371 0.624 1
S6 S 0.116 0.871 0.876 1
S7 S 0.616 0.629 0.376 1
S8 S 0.884 0.129 0.124 1
S9 S 0.041 0.956 0.362 1
S10 S 0.459 0.456 0.138 1
S11 S 0.959 0.044 0.638 1
S12 S 0.541 0.544 0.862 1
S13 S 0.451 0.946 0.137 1
S14 S 0.049 0.446 0.363 1
S15 S 0.549 0.054 0.863 1
S16 S 0.951 0.554 0.637 1
O1 O 0.065 0.692 0.173 1
O2 O 0.435 0.192 0.327 1
O3 O 0.935 0.308 0.827 1
O4 O 0.565 0.808 0.673 1
O5 O 0.852 0.703 0.031 1
O6 O 0.648 0.203 0.469 1
O7 O 0.148 0.297 0.969 1
O8 O 0.352 0.797 0.531 1
O9 O 0.960 0.494 0.091 1
O10 O 0.540 0.994 0.409 1
O11 O 0.040 0.506 0.909 1
O12 O 0.460 0.006 0.591 1
O13 O 0.051 0.181 0.172 1
O14 O 0.449 0.681 0.328 1
O15 O 0.949 0.819 0.828 1
O16 O 0.551 0.319 0.672 1
O17 O 0.901 0.991 0.102 1
O18 O 0.599 0.491 0.398 1
O19 O 0.099 0.009 0.898 1
O20 O 0.401 0.509 0.602 1
O21 O 0.810 0.208 0.046 1
O22 O 0.690 0.708 0.454 1
O23 O 0.190 0.792 0.954 1
O24 O 0.310 0.292 0.546 1
O25 O 0.001 0.889 0.437 1
O26 O 0.499 0.389 0.063 1
O27 O 0.999 0.111 0.563 1
O28 O 0.501 0.611 0.937 1
O29 O 0.167 0.889 0.323 1
O30 O 0.333 0.389 0.177 1
O31 O 0.833 0.111 0.677 1
O32 O 0.667 0.611 0.823 1
O33 O 0.408 0.592 0.119 1
O34 O 0.092 0.092 0.381 1
O35 O 0.592 0.408 0.881 1
O36 O 0.908 0.908 0.619 1
O37 O 0.184 0.373 0.336 1
O38 O 0.316 0.873 0.164 1
O39 O 0.816 0.627 0.664 1
O40 O 0.684 0.127 0.836 1
O41 O 0.109 0.569 0.404 1
O42 O 0.391 0.069 0.096 1
O43 O 0.891 0.431 0.596 1
O44 O 0.609 0.931 0.904 1
O45 O 0.532 0.865 0.080 1
O46 O 0.968 0.365 0.420 1
O47 O 0.468 0.135 0.920 1
O48 O 0.032 0.635 0.580 1
O49 O 0.775 0.624 0.162 1
O50 O 0.725 0.124 0.338 1
O51 O 0.225 0.376 0.838 1
O52 O 0.275 0.876 0.662 1
O53 O 0.738 0.639 0.312 1
O54 O 0.762 0.139 0.188 1
O55 O 0.262 0.361 0.688 1
O56 O 0.238 0.861 0.812 1
O57 O 0.881 0.955 0.280 1
O58 O 0.619 0.455 0.220 1
O59 O 0.119 0.045 0.720 1
O60 O 0.381 0.545 0.780 1
O61 O 0.582 0.969 0.227 1
O62 O 0.918 0.469 0.273 1
O63 O 0.418 0.031 0.773 1
O64 O 0.082 0.531 0.727 1
```

space-group type = No. 14
energy relative to the elements, uncorrected = -1.78 eV/atom



What raw total energy values result from the calculations? In sequence: -4.75 -3.82 -6.10 eV per atom.